(1)
A geometry-optimized BaHfS3 structure, computed with PBE-GGA.

Output
**SG**: Cmcm
**Magnetic moment**: 0.0 μB per cell
**Energy relative to the elements, uncorrected**: -7.40 eV/f.u.

a b c (Å): 9.639 9.639 6.448
angles (deg): 90.00 90.00 136.34
Atoms (fractional coordinates):
Ba  0.186  0.814  0.750
Ba  0.814  0.186  0.250
Hf  0.404  0.596  0.750
Hf  0.596  0.404  0.250
S  0.062  0.416  0.750
S  0.416  0.062  0.250
S  0.500  0.500  0.000
S  0.500  0.500  0.500
S  0.584  0.938  0.750
S  0.938  0.584  0.250



(2)
A geometry-optimized NpPdRh4 structure, computed with PBE-GGA.

Output
**SG**: F-43m
**Magnetic moment**: 2.3 μB per cell
**Energy of formation**: -0.161 eV per atom

a b c (Å): 5.203 5.203 5.203
angles (deg): 60.00 60.00 60.00
Atoms (fractional coordinates):
Np  0.000  0.000  0.000
Pd  0.250  0.250  0.250
Rh  0.126  0.625  0.625
Rh  0.625  0.126  0.625
Rh  0.625  0.625  0.126
Rh  0.625  0.625  0.625



(3)
A geometry-optimized MgGa2Pd8 structure, computed with PBE-GGA.

Output
**SG**: Immm
**Magnetic moment**: 0.0 μB per cell
**Energy of formation**: -0.496 eV per atom
**Polymorph energy (0 for the lowest one)**: 7 meV per atom

a b c (Å): 7.251 7.251 7.251
angles (deg): 147.30 122.09 68.11
Atoms (fractional coordinates):
Mg  0.000  0.000  0.000
Ga  0.310  0.310  0.000
Ga  0.690  0.690  0.000
Pd  0.116  0.837  0.279
Pd  0.147  0.647  0.500
Pd  0.305  0.500  0.805
Pd  0.442  0.163  0.279
Pd  0.558  0.837  0.721
Pd  0.695  0.500  0.195
Pd  0.853  0.353  0.500
Pd  0.884  0.163  0.721